This record from the Alexandria database describes a relaxed structure of PrDy2Pd. The functional is GGA-PBE.

Formation energy from the elements = -160 kJ/mol of formula units
E above lowest polymorph = 0.76 kcal/mol of atoms

Unit cell a=3.5897 b=3.5897 c=8.6514 alpha=90.00 beta=90.00 gamma=90.00
Last column: nearest neighbours and their distance in Å.
Positions (direct):
Pr  0.5000  0.5000  0.5000  4 Pr 3.59, 8 Dy 3.68
Pd  0.5000  0.5000  0.0000  8 Dy 3.03
Dy  0.0000  0.0000  0.8085  4 Pd 3.03, 1 Dy 3.31
Dy  0.0000  0.0000  0.1915  4 Pd 3.03, 1 Dy 3.31